1.
The following is a PBE calculation of a geometry-optimized CoCuBW structure, from the Open Quantum Materials Database.

The structure in POSCAR format:
```
CoCuBW
1.0
0.0000 2.8096 2.8096
2.8096 0.0000 2.8096
2.8096 2.8096 0.0000
B Co Cu W
1 1 1 1
Direct
0.0000 0.0000 0.0000
0.7500 0.7500 0.7500
0.5000 0.5000 0.5000
0.2500 0.2500 0.2500
```

***

2.
The following is a PBE calculation of a geometry-optimized Zr3AsPd structure, from the Open Quantum Materials Database.

The structure in POSCAR format:
```
Zr3AsPd
1.0
-4.0669 3.9421 2.3720
3.7430 -4.7186 1.1965
7.3095 6.3149 2.0376
As Pd Zr
2 2 6
Direct
0.0000 0.0000 0.0000
0.0000 0.0000 0.5000
0.2532 0.7468 0.2500
0.7468 0.2532 0.7500
0.6518 0.3482 0.0745
0.9294 0.0706 0.2500
0.6518 0.3482 0.4255
0.3482 0.6518 0.5745
0.0706 0.9294 0.7500
0.3482 0.6518 0.9255
```

***

3.
The following is a PBE calculation of a geometry-optimized LaLuIn2Pt4 structure, from the Open Quantum Materials Database.

The structure in POSCAR format:
```
LaLuIn2Pt4
1.0
-3.5602 2.4445 1.6300
0.0839 -4.5854 0.5238
4.3632 0.9975 8.0337
In La Lu Pt
2 1 1 4
Direct
0.3333 0.6667 0.2601
0.3333 0.6667 0.7399
0.0000 0.0000 0.0000
0.6667 0.3333 0.5000
0.6667 0.3333 0.1735
0.0000 0.0000 0.3481
0.0000 0.0000 0.6519
0.6667 0.3333 0.8265
```

***

Values of total energy, in order: -28.580 -77.396 -46.685, all in eV/cell.
Values of M_tot, in order: 1.2 0.0 0.0, all in Bohr magnetons per cell.